[1]
Density functional theory data (PBE) for a geometry-optimized Cu5Ni3 structure.

Cell lengths 4.5157, 6.8525, 6.8550 Å; angles 83.78, 70.87, 70.93 degrees
With the nearest neighbours (Å) after each atom.
Positions (direct):
1 Cu 0.0681 0.1665 0.1964  6 Ni 2.39-2.60, 3 Cu 2.54-2.59
2 Cu 0.2341 0.6963 0.3343  6 Ni 2.38-2.60, 3 Cu 2.54-2.59
3 Cu 0.2503 0.4997 0.0000  2 Cu 2.26
4 Cu 0.2647 0.1659 0.8037  6 Ni 2.39-2.60, 3 Cu 2.54-2.59
5 Cu 0.4312 0.3036 0.3333  6 Ni 2.38-2.60, 3 Cu 2.54-2.59
6 Cu 0.5688 0.6964 0.6667  6 Ni 2.38-2.60, 3 Cu 2.54-2.59
7 Cu 0.7353 0.8341 0.1963  6 Ni 2.39-2.60, 3 Cu 2.54-2.59
8 Cu 0.7497 0.5003 0.0000  2 Cu 2.26
9 Cu 0.7659 0.3037 0.6657  6 Ni 2.38-2.60, 3 Cu 2.54-2.59
10 Cu 0.9319 0.8335 0.8036  6 Ni 2.39-2.60, 3 Cu 2.54-2.59
11 Ni 0.1782 0.5001 0.6459  10 Cu 2.38-2.60
12 Ni 0.2501 0.9996 0.4998  2 Ni 2.26, 8 Cu 2.50-2.51
13 Ni 0.3240 0.8534 0.9992  10 Cu 2.38-2.60
14 Ni 0.6760 0.1466 0.0008  10 Cu 2.38-2.60
15 Ni 0.7499 0.0004 0.5002  2 Ni 2.26, 8 Cu 2.50-2.51
16 Ni 0.8218 0.4999 0.3541  10 Cu 2.38-2.60

crystal system = triclinic

[2]
Density functional theory data (PBE) for a geometry-optimized Cu2Ni structure.

Cell lengths 11.7624, 11.7624, 11.7624 Å; angles 167.90, 167.90, 17.15 degrees
With the nearest neighbours (Å) after each atom.
Positions (direct):
1 Cu 0.2968 0.5468 0.7500  6 Cu 2.48-2.50, 4 Ni 2.53
2 Cu 0.4532 0.7032 0.7500  6 Cu 2.48-2.50, 4 Ni 2.53
3 Cu 0.5468 0.2968 0.2500  6 Cu 2.48-2.50, 4 Ni 2.53
4 Cu 0.7032 0.4532 0.2500  6 Cu 2.48-2.50, 4 Ni 2.53
5 Ni 0.1250 0.8750 0.2500  4 Ni 2.48, 8 Cu 2.53
6 Ni 0.8750 0.1250 0.7500  4 Ni 2.48, 8 Cu 2.53

crystal system = tetragonal

[3]
Density functional theory data (PBE) for a geometry-optimized Cu3Ni4 structure.

Cell lengths 9.5715, 9.5715, 9.5715 Å; angles 162.47, 162.47, 24.90 degrees
With the nearest neighbours (Å) after each atom.
Positions (direct):
1 Cu 0.0000 0.0000 0.0000  10 Ni 2.47-2.61
2 Cu 0.2866 0.2866 0.0000  4 Cu 2.48, 6 Ni 2.48-2.74
3 Cu 0.7134 0.7134 0.0000  4 Cu 2.48, 6 Ni 2.48-2.74
4 Ni 0.1398 0.1398 0.0000  4 Ni 2.42, 5 Cu 2.48-2.61
5 Ni 0.4275 0.4275 0.0000  4 Ni 2.42, 5 Cu 2.47-2.63
6 Ni 0.5725 0.5725 0.0000  4 Ni 2.42, 5 Cu 2.47-2.63
7 Ni 0.8602 0.8602 0.0000  4 Ni 2.42, 5 Cu 2.48-2.61

crystal system = tetragonal

[4]
Density functional theory data (PBE) for a geometry-optimized Cu6Ni7 structure.

Cell lengths 8.5973, 8.5973, 8.5973 Å; angles 31.39, 31.39, 31.39 degrees
With the nearest neighbours (Å) after each atom.
Positions (direct):
1 Cu 0.0488 0.0488 0.0488  2 Cu 2.39-2.52, 6 Ni 2.52
2 Cu 0.1516 0.1516 0.1516  4 Cu 2.52-2.78, 12 Ni 2.64-2.79
3 Cu 0.3340 0.3340 0.3340  6 Ni 2.54-2.56, 3 Cu 2.69
4 Cu 0.6660 0.6660 0.6660  6 Ni 2.54-2.56, 3 Cu 2.69
5 Cu 0.8484 0.8484 0.8484  4 Cu 2.52-2.78, 12 Ni 2.64-2.79
6 Cu 0.9512 0.9512 0.9512  2 Cu 2.39-2.52, 6 Ni 2.52
7 Ni 0.0852 0.5901 0.5901  5 Ni 2.30-2.35, 4 Cu 2.52-2.56
8 Ni 0.4099 0.4099 0.9148  5 Ni 2.30-2.35, 4 Cu 2.52-2.56
9 Ni 0.4099 0.9148 0.4099  5 Ni 2.30-2.35, 4 Cu 2.52-2.56
10 Ni 0.5000 0.5000 0.5000  6 Ni 2.35
11 Ni 0.5901 0.0852 0.5901  5 Ni 2.30-2.35, 4 Cu 2.52-2.56
12 Ni 0.5901 0.5901 0.0852  5 Ni 2.30-2.35, 4 Cu 2.52-2.56
13 Ni 0.9148 0.4099 0.4099  5 Ni 2.30-2.35, 4 Cu 2.52-2.56

crystal system = trigonal

[5]
Density functional theory data (PBE) for a geometry-optimized CuNi4 structure.

Cell lengths 4.2317, 4.2317, 4.2317 Å; angles 90.00, 90.00, 90.00 degrees
With the nearest neighbours (Å) after each atom.
Positions (direct):
1 Cu 0.0000 0.0000 0.0000  6 Ni 2.12
2 Ni 0.0000 0.0000 0.5000  2 Cu 2.12
3 Ni 0.0000 0.5000 0.0000  2 Cu 2.12
4 Ni 0.5000 0.0000 0.0000  2 Cu 2.12
5 Ni 0.5000 0.5000 0.5000  12 Ni 2.99

crystal system = cubic

[6]
Density functional theory data (PBE) for a geometry-optimized Cu2Ni structure.

Cell lengths 5.0531, 3.6008, 7.5743 Å; angles 90.00, 90.00, 90.00 degrees
With the nearest neighbours (Å) after each atom.
Positions (direct):
1 Cu 0.1235 0.2500 0.2489  5 Ni 2.50-2.56, 7 Cu 2.53-2.54
2 Cu 0.1261 0.2500 0.5839  5 Ni 2.51-2.54, 7 Cu 2.53-2.55
3 Cu 0.3739 0.7500 0.0839  5 Ni 2.51-2.54, 7 Cu 2.53-2.55
4 Cu 0.3765 0.7500 0.7489  5 Ni 2.50-2.56, 7 Cu 2.53-2.54
5 Cu 0.6235 0.2500 0.2511  5 Ni 2.50-2.56, 7 Cu 2.53-2.54
6 Cu 0.6261 0.2500 0.9161  5 Ni 2.51-2.54, 7 Cu 2.53-2.55
7 Cu 0.8739 0.7500 0.4161  5 Ni 2.51-2.54, 7 Cu 2.53-2.55
8 Cu 0.8765 0.7500 0.7511  5 Ni 2.50-2.56, 7 Cu 2.53-2.54
9 Ni 0.1233 0.2500 0.9186  10 Cu 2.50-2.56, 2 Ni 2.51
10 Ni 0.3767 0.7500 0.4186  10 Cu 2.50-2.56, 2 Ni 2.51
11 Ni 0.6233 0.2500 0.5814  10 Cu 2.50-2.56, 2 Ni 2.51
12 Ni 0.8767 0.7500 0.0814  10 Cu 2.50-2.56, 2 Ni 2.51

crystal system = orthorhombic

[7]
Density functional theory data (PBE) for a geometry-optimized Cu6Ni structure.

Cell lengths 3.5624, 3.5624, 7.0214 Å; angles 90.00, 90.00, 90.00 degrees
With the nearest neighbours (Å) after each atom.
Positions (direct):
1 Cu 0.0000 0.0000 0.0000  8 Cu 2.47
2 Cu 0.0000 0.5000 0.2430  8 Cu 2.47-2.54, 2 Ni 2.54
3 Cu 0.0000 0.5000 0.7570  8 Cu 2.47-2.54, 2 Ni 2.54
4 Cu 0.5000 0.0000 0.2430  8 Cu 2.47-2.54, 2 Ni 2.54
5 Cu 0.5000 0.0000 0.7570  8 Cu 2.47-2.54, 2 Ni 2.54
6 Cu 0.5000 0.5000 0.5000  4 Ni 2.52, 8 Cu 2.54
7 Ni 0.0000 0.0000 0.5000  12 Cu 2.52-2.54

crystal system = tetragonal

[8]
Density functional theory data (PBE) for a geometry-optimized CuNi5 structure.

Cell lengths 5.5742, 5.5742, 3.5336 Å; angles 90.00, 90.00, 142.99 degrees
With the nearest neighbours (Å) after each atom.
Positions (direct):
1 Cu 0.0000 0.0000 0.0000  12 Ni 2.50-2.51
2 Ni 0.1681 0.8319 0.5000  10 Ni 2.47-2.51, 2 Cu 2.51
3 Ni 0.3320 0.6680 0.0000  10 Ni 2.47-2.51, 2 Cu 2.51
4 Ni 0.5000 0.5000 0.5000  4 Cu 2.50, 8 Ni 2.51
5 Ni 0.6680 0.3320 0.0000  10 Ni 2.47-2.51, 2 Cu 2.51
6 Ni 0.8319 0.1681 0.5000  10 Ni 2.47-2.51, 2 Cu 2.51

crystal system = orthorhombic

Let's list energy relative to the elements in order: 162, 109, 83, 119, 1273, 11, 150, 29 meV/atom.
Let's list DOS at the Fermi energy in order: 11.90, 4.50, 8.82, 11.70, 12.47, 7.29, 3.88, 10.16 states/eV per cell.